1.
{"formula": "KTl2As", "functional": "GGA-PBE", "state": "relaxed", "lattice_angstrom": [[-6.8686, 0.3491, -3.5832], [-5.6000, -4.1333, -3.4196], [-7.4579, -2.0983, 0.3401]], "species": ["K", "Tl", "Tl", "As"], "fractional_positions": [[0.7500, 0.7500, 0.7500], [0.9778, 0.9778, 0.9778], [0.5222, 0.5222, 0.5222], [0.2500, 0.2500, 0.2500]], "de_polymorph_mev_per_atom": 28, "space_group": "No. 166", "crystal_system": "trigonal", "e_tot_ha_per_atom": -0.1015, "vol_a3_per_cell": 137}



2.
{"formula": "KTl2As", "functional": "GGA-PBE", "state": "relaxed", "lattice_angstrom": [[-2.2289, -4.2469, -0.4929], [1.7191, -0.3793, -4.5054], [4.0685, -2.3383, 1.7492]], "species": ["As", "K", "Tl", "Tl"], "fractional_positions": [[0.5000, 0.0000, 0.5000], [0.0000, 0.5000, 0.5000], [0.0000, 0.0000, 0.0000], [0.5000, 0.5000, 0.0000]], "de_polymorph_mev_per_atom": 139, "space_group": "No. 47", "crystal_system": "orthorhombic", "e_tot_ha_per_atom": -0.0974, "vol_a3_per_cell": 117}



3.
{"formula": "KTlAs", "functional": "GGA-PBE", "state": "relaxed", "lattice_angstrom": [[-1.6917, 1.6314, 3.2126], [-1.1103, -3.6262, -1.2093], [5.0408, -2.9238, 4.1391]], "species": ["As", "K", "Tl"], "fractional_positions": [[0.0000, 0.0000, 0.9747], [0.3333, 0.6667, 0.3086], [0.6667, 0.3333, 0.7167]], "de_polymorph_mev_per_atom": 209, "space_group": "No. 156", "crystal_system": "trigonal", "e_tot_ha_per_atom": -0.1011, "vol_a3_per_cell": 98}



4.
{"formula": "KTl2As", "functional": "GGA-PBE", "state": "relaxed", "lattice_angstrom": [[6.0823, 0.0024, 0.0088], [-2.8707, 6.0625, 0.0603], [0.3409, 0.8870, 3.2230]], "species": ["As", "K", "Tl", "Tl"], "fractional_positions": [[0.0000, 0.5000, 0.5000], [0.5000, 0.5000, 0.0000], [0.0000, 0.0000, 0.0000], [0.5000, 0.0000, 0.5000]], "de_polymorph_mev_per_atom": 212, "space_group": "No. 12", "crystal_system": "monoclinic", "e_tot_ha_per_atom": -0.0947, "vol_a3_per_cell": 119}



5.
{"formula": "K2Tl2As", "functional": "GGA-PBE", "state": "relaxed", "lattice_angstrom": [[7.3674, 0.0000, 0.0000], [-3.6837, 6.6500, -1.7734], [0.0000, -0.0229, 7.2904]], "species": ["K", "K", "K", "K", "Tl", "Tl", "Tl", "Tl", "As", "As"], "fractional_positions": [[0.5813, 0.2972, 0.6386], [0.2841, 0.7028, 0.8614], [0.4187, 0.7028, 0.3614], [0.7159, 0.2972, 0.1386], [0.8202, 0.7754, 0.0293], [0.0448, 0.2246, 0.4707], [0.1798, 0.2246, 0.9707], [0.9552, 0.7754, 0.5293], [0.7642, 0.0000, 0.7500], [0.2358, 0.0000, 0.2500]], "de_polymorph_mev_per_atom": 0, "space_group": "No. 15", "crystal_system": "monoclinic", "e_tot_ha_per_atom": -0.0928, "vol_a3_per_cell": 357}



6.
{"formula": "K5TlAs2", "functional": "GGA-PBE", "state": "relaxed", "lattice_angstrom": [[-4.7521, -1.7271, 2.7866], [-2.8611, -4.6804, -1.7995], [3.2530, -8.0605, 6.5321]], "species": ["K", "K", "K", "K", "K", "Tl", "As", "As"], "fractional_positions": [[0.5000, 0.5000, 0.5000], [0.3822, 0.3822, 0.8534], [0.6178, 0.6178, 0.1466], [0.2187, 0.2187, 0.3440], [0.7813, 0.7813, 0.6560], [0.0000, 0.0000, 0.0000], [0.0963, 0.0963, 0.7110], [0.9037, 0.9037, 0.2890]], "space_group": "No. 166", "crystal_system": "trigonal", "e_tot_ha_per_atom": -0.0871, "vol_a3_per_cell": 299}



7.
{"formula": "K2TlAs2", "functional": "GGA-PBE", "state": "relaxed", "lattice_angstrom": [[7.7253, 0.0000, 0.0000], [0.0000, 7.7253, 0.0000], [0.0000, 0.0000, 5.3092]], "species": ["K", "K", "K", "K", "Tl", "Tl", "As", "As", "As", "As"], "fractional_positions": [[0.1757, 0.6757, 0.5000], [0.6757, 0.8243, 0.5000], [0.8243, 0.3243, 0.5000], [0.3243, 0.1757, 0.5000], [0.0000, 0.0000, 0.0000], [0.5000, 0.5000, 0.0000], [0.3881, 0.8881, 0.0000], [0.8881, 0.6119, 0.0000], [0.6119, 0.1119, 0.0000], [0.1119, 0.3881, 0.0000]], "de_polymorph_mev_per_atom": 17, "space_group": "No. 127", "crystal_system": "tetragonal", "e_tot_ha_per_atom": -0.1128, "vol_a3_per_cell": 317}



8.
{"formula": "KTl2As", "functional": "GGA-PBE", "state": "relaxed", "lattice_angstrom": [[-2.9364, -5.7140, -2.0423], [-2.2486, -6.1467, 1.6139], [-5.7940, -0.4419, 1.0378]], "species": ["K", "Tl", "Tl", "As"], "fractional_positions": [[0.7500, 0.7500, 0.7500], [0.9497, 0.9497, 0.0511], [0.5503, 0.5503, 0.4489], [0.2500, 0.2500, 0.2500]], "de_polymorph_mev_per_atom": 12, "space_group": "No. 71", "crystal_system": "orthorhombic", "e_tot_ha_per_atom": -0.1021, "vol_a3_per_cell": 127}



9.
{"formula": "K2Tl2As", "functional": "GGA-PBE", "state": "relaxed", "lattice_angstrom": [[-5.9023, -2.3037, 4.7161], [4.4070, -6.0297, 2.5701], [2.0382, 3.2546, 4.1407]], "species": ["K", "K", "K", "K", "Tl", "Tl", "Tl", "Tl", "As", "As"], "fractional_positions": [[0.1837, 0.6837, 0.5000], [0.6837, 0.8163, 0.5000], [0.8163, 0.3163, 0.5000], [0.3163, 0.1837, 0.5000], [0.3629, 0.8629, 0.0000], [0.8629, 0.6371, 0.0000], [0.6371, 0.1371, 0.0000], [0.1371, 0.3629, 0.0000], [0.0000, 0.0000, 0.0000], [0.5000, 0.5000, 0.0000]], "de_polymorph_mev_per_atom": 104, "space_group": "No. 127", "crystal_system": "tetragonal", "e_tot_ha_per_atom": -0.0890, "vol_a3_per_cell": 352}



10.
{"formula": "K3Tl2As2", "functional": "GGA-PBE", "state": "relaxed", "lattice_angstrom": [[5.1812, 0.0000, -0.8874], [-0.1733, 4.3404, -1.0116], [-0.7601, 0.2724, 11.1315]], "species": ["K", "K", "K", "Tl", "Tl", "As", "As"], "fractional_positions": [[0.0000, 0.0000, 0.0000], [0.1906, 0.6906, 0.3811], [0.8094, 0.3094, 0.6189], [0.5700, 0.5700, 0.1400], [0.4300, 0.4300, 0.8600], [0.6455, 0.1455, 0.2910], [0.3545, 0.8545, 0.7090]], "space_group": "No. 71", "crystal_system": "orthorhombic", "e_tot_ha_per_atom": -0.1004, "vol_a3_per_cell": 249}



11.
{"formula": "K2TlAs", "functional": "GGA-PBE", "state": "relaxed", "lattice_angstrom": [[4.4131, 0.0000, 0.0000], [0.0000, 5.2639, 0.0016], [0.0000, 2.6459, 6.3946]], "species": ["K", "K", "Tl", "As"], "fractional_positions": [[0.0000, 0.9823, 0.9098], [0.5000, 0.2794, 0.3152], [0.0000, 0.6857, 0.5014], [0.5000, 0.5526, 0.7736]], "de_polymorph_mev_per_atom": 27, "space_group": "No. 6", "crystal_system": "monoclinic", "e_tot_ha_per_atom": -0.0957, "vol_a3_per_cell": 149}



12.
{"formula": "K2TlAs", "functional": "GGA-PBE", "state": "relaxed", "lattice_angstrom": [[-0.5199, -5.5024, -1.3283], [-5.0000, -2.0334, -1.7822], [-0.6614, -1.5641, -5.4247]], "species": ["K", "K", "Tl", "As"], "fractional_positions": [[0.2500, 0.2500, 0.2500], [0.7500, 0.7500, 0.7500], [0.5000, 0.5000, 0.5000], [0.0000, 0.0000, 0.0000]], "de_polymorph_mev_per_atom": 168, "space_group": "No. 225", "crystal_system": "cubic", "e_tot_ha_per_atom": -0.0905, "vol_a3_per_cell": 130}